# 1
Entry from Alexandria via LeMat-Bulk: crystalline TbPm12Sm2 at its relaxed geometry (PBE).

CIF file:
```
data_TbPm12Sm2
_symmetry_space_group_name_H-M 'P 4/n b m'
_symmetry_Int_Tables_number 125
_cell_length_a 6.603
_cell_length_b 6.603
_cell_length_c 25.034
_cell_angle_alpha 90.00
_cell_angle_beta 90.00
_cell_angle_gamma 90.00
loop_
_symmetry_equiv_pos_as_xyz
'x,y,z'
'-x,-y,-z'
'-y+1/2,x,z'
'y+1/2,-x,-z'
'-x+1/2,-y+1/2,z'
'x+1/2,y+1/2,-z'
'y,-x+1/2,z'
'-y,x+1/2,-z'
'x,-y+1/2,-z'
'-x,y+1/2,z'
'-y+1/2,-x+1/2,-z'
'y+1/2,x+1/2,z'
'-x+1/2,y,-z'
'x+1/2,-y,z'
'y,x,-z'
'-y,-x,z'
loop_
_atom_site_label
_atom_site_fract_x
_atom_site_fract_y
_atom_site_fract_z
Tb1 0.250 0.750 0.000
Pm1 0.001 0.501 0.110
Pm2 0.083 0.583 0.438
Pm3 0.250 0.250 0.210
Pm4 0.250 0.250 0.333
Sm1 0.250 0.750 0.251
```

Calculated volume = 36.38 Å³/atom
ΔE_f = 0.343 eV/atom

# 2
Entry from Alexandria via LeMat-Bulk: crystalline ZnBi2O at its relaxed geometry (PBE).

CIF file:
```
data_ZnBi2O
_symmetry_space_group_name_H-M 'F m -3 m'
_symmetry_Int_Tables_number 225
_symmetry_space_group_name_Hall '-F 4 2 3'
_cell_length_a 6.859
_cell_length_b 6.859
_cell_length_c 6.859
_cell_angle_alpha 90.00
_cell_angle_beta 90.00
_cell_angle_gamma 90.00
loop_
_atom_site_label
_atom_site_fract_x
_atom_site_fract_y
_atom_site_fract_z
Zn1 0.000 0.000 0.000
Bi1 0.250 0.250 0.250
O1 0.000 0.000 0.500
```

E_form (uncorrected) = 0.11 eV/atom
Calculated volume = 20.17 Å³/atom
Energy above the lowest structure with this stoichiometry = 257.5 meV/atom

# 3
Entry from Alexandria via LeMat-Bulk: crystalline LiTmNbN3 at its relaxed geometry (PBE).

CIF file:
```
data_LiTmNbN3
_symmetry_space_group_name_H-M 'P 1 21/m 1'
_symmetry_Int_Tables_number 11
_cell_length_a 6.621
_cell_length_b 3.163
_cell_length_c 6.753
_cell_angle_alpha 90.00
_cell_angle_beta 102.86
_cell_angle_gamma 90.00
loop_
_symmetry_equiv_pos_as_xyz
'x,y,z'
'-x,-y,-z'
'-x,y+1/2,-z'
'x,-y+1/2,z'
loop_
_atom_site_label
_atom_site_fract_x
_atom_site_fract_y
_atom_site_fract_z
Li1 0.079 0.250 0.085
Tm1 0.195 0.250 0.722
Nb1 0.330 0.750 0.310
N1 0.125 0.250 0.366
N2 0.219 0.750 0.015
N3 0.441 0.750 0.669
```

E_form (uncorrected) = -1.02 eV/atom
Calculated volume = 11.49 Å³/atom

# 4
Entry from Alexandria via LeMat-Bulk: crystalline Pm4Sm5Mg at its relaxed geometry (PBE).

CIF file:
```
data_Pm4Sm5Mg
_symmetry_space_group_name_H-M 'P 4/m m m'
_symmetry_Int_Tables_number 123
_symmetry_space_group_name_Hall '-P 4 2'
_cell_length_a 4.220
_cell_length_b 4.220
_cell_length_c 18.569
_cell_angle_alpha 90.00
_cell_angle_beta 90.00
_cell_angle_gamma 90.00
loop_
_atom_site_label
_atom_site_fract_x
_atom_site_fract_y
_atom_site_fract_z
Pm1 0.000 0.000 0.101
Pm2 0.000 0.000 0.298
Sm1 0.500 0.500 0.000
Sm2 0.500 0.500 0.203
Sm3 0.500 0.500 0.407
Mg1 0.000 0.000 0.500
```

Calculated volume = 33.06 Å³/atom
ΔE_f = 0.090 eV/atom
Energy above the lowest structure with this stoichiometry = 0.0 meV/atom

# 5
Entry from Alexandria via LeMat-Bulk: crystalline SiBiNF2 at its relaxed geometry (PBE).

CIF file:
```
data_SiBiNF2
_symmetry_space_group_name_H-M 'P 4/m m m'
_symmetry_Int_Tables_number 123
_symmetry_space_group_name_Hall '-P 4 2'
_cell_length_a 4.618
_cell_length_b 4.618
_cell_length_c 3.289
_cell_angle_alpha 90.00
_cell_angle_beta 90.00
_cell_angle_gamma 90.00
loop_
_atom_site_label
_atom_site_fract_x
_atom_site_fract_y
_atom_site_fract_z
Si1 0.000 0.000 0.000
Bi1 0.500 0.500 0.500
N1 0.000 0.000 0.500
F1 0.000 0.500 0.000
```

E_form (uncorrected) = -0.81 eV/atom
Calculated volume = 14.03 Å³/atom
Energy above the lowest structure with this stoichiometry = 0.0 meV/atom

# 6
Entry from Alexandria via LeMat-Bulk: crystalline NaIn12Pb3 at its relaxed geometry (PBE).

CIF file:
```
data_NaIn12Pb3
_symmetry_space_group_name_H-M 'P 4/m m m'
_symmetry_Int_Tables_number 123
_symmetry_space_group_name_Hall '-P 4 2'
_cell_length_a 4.994
_cell_length_b 4.994
_cell_length_c 17.909
_cell_angle_alpha 90.00
_cell_angle_beta 90.00
_cell_angle_gamma 90.00
loop_
_atom_site_label
_atom_site_fract_x
_atom_site_fract_y
_atom_site_fract_z
Na1 0.000 0.000 0.000
In1 0.000 0.500 0.121
In2 0.000 0.500 0.375
In3 0.500 0.500 0.000
In4 0.500 0.500 0.250
In5 0.500 0.500 0.500
Pb1 0.000 0.000 0.244
Pb2 0.000 0.000 0.500
```

Calculated volume = 27.91 Å³/atom
ΔE_f = -0.003 eV/atom

# 7
Entry from Alexandria via LeMat-Bulk: crystalline MnAuSe2 at its relaxed geometry (PBE).

CIF file:
```
data_MnAuSe2
_symmetry_space_group_name_H-M 'C m m m'
_symmetry_Int_Tables_number 65
_symmetry_space_group_name_Hall '-C 2 2'
_cell_length_a 6.477
_cell_length_b 6.492
_cell_length_c 3.596
_cell_angle_alpha 90.00
_cell_angle_beta 90.00
_cell_angle_gamma 90.00
loop_
_atom_site_label
_atom_site_fract_x
_atom_site_fract_y
_atom_site_fract_z
Mn1 0.000 0.000 0.000
Au1 0.000 0.500 0.000
Se1 0.250 0.250 0.500
```

E_form (uncorrected) = 0.21 eV/atom
Calculated volume = 18.90 Å³/atom

# 8
Entry from Alexandria via LeMat-Bulk: crystalline Ba2Li3Pb5 at its relaxed geometry (PBE).

CIF file:
```
data_Ba2Li3Pb5
_symmetry_space_group_name_H-M 'I b a m'
_symmetry_Int_Tables_number 72
_symmetry_space_group_name_Hall '-I 2 2c'
_cell_length_a 12.462
_cell_length_b 13.872
_cell_length_c 6.927
_cell_angle_alpha 90.00
_cell_angle_beta 90.00
_cell_angle_gamma 90.00
loop_
_atom_site_label
_atom_site_fract_x
_atom_site_fract_y
_atom_site_fract_z
Ba1 0.240 0.132 0.000
Li1 0.000 0.500 0.250
Li2 0.122 0.126 0.500
Pb1 0.000 0.000 0.250
Pb2 0.000 0.260 0.250
Pb3 0.152 0.392 0.000
```

Calculated volume = 29.94 Å³/atom
ΔE_f = -0.403 eV/atom